(1)
KRbTi4P6O24: PBEsol geometry, SCAN.

It has space group R-3 (No. 148, hexagonal axes), with a = 8.3892 Å, b = 8.3892 Å, c = 23.3522 Å, α = 90.00°, β = 90.00° and γ = 120.00°. Symmetry generates all atoms from K at (0.0000, 0.0000, 0.0000), Rb at (0.0000, 0.0000, 0.5000), Ti at (0.0000, 0.0000, 0.1490), Ti at (0.0000, 0.0000, 0.3495), P at (0.0009, 0.2810, 0.7495), O at (0.0171, 0.8252, 0.9020), O at (0.0441, 0.2055, 0.3986), O at (0.0491, 0.8419, 0.1969) and O at (0.0667, 0.2115, 0.6989).

For the uncorrected energy, the calculation gives -407.35 eV/f.u. The value obtained for the density of states at the Fermi level is 0.00 states/eV/cell. The energy relative to the elements, uncorrected comes out at -2839 meV/atom.


(2)
KSbP2O8: PBEsol geometry, SCAN.

It has space group R-3 (No. 148, hexagonal axes), with a = 4.7851 Å, b = 4.7851 Å, c = 25.5309 Å, α = 90.00°, β = 90.00° and γ = 120.00°. Symmetry generates all atoms from K at (0.0000, 0.0000, 0.0000), Sb at (0.0000, 0.0000, 0.5000), P at (0.0000, 0.0000, 0.2357), O at (0.0000, 0.0000, 0.2939) and O at (0.0169, 0.3747, 0.8795).

For the uncorrected energy, the calculation gives -142.82 eV/f.u. The value obtained for the density of states at the Fermi level is 0.00 states/eV/cell. The energy relative to the elements, uncorrected comes out at -2215 meV/atom.


(3)
K2SbPO6: PBEsol geometry, SCAN.

It has space group Pnma (No. 62), with a = 9.416 Å, b = 5.926 Å, c = 11.034 Å, α = 90.00°, β = 90.00° and γ = 90.00°. Symmetry generates all atoms from K at (0.116, 0.250, 0.159), K at (0.171, 0.250, 0.807), Sb at (0.000, 0.000, 0.500), P at (0.195, 0.750, 0.990), O at (0.002, 0.250, 0.381), O at (0.035, 0.750, 0.381), O at (0.064, 0.750, 0.069), O at (0.172, 0.750, 0.854) and O at (0.212, 0.034, 0.529).

For the uncorrected energy, the calculation gives -123.54 eV/f.u. The value obtained for the density of states at the Fermi level is 0.00 states/eV/cell. The energy relative to the elements, uncorrected comes out at -2184 meV/atom.


(4)
K3ScP2O8: PBEsol geometry, SCAN.

It has space group P-3 (No. 147), with a = 9.4498 Å, b = 9.4498 Å, c = 7.5573 Å, α = 90.00°, β = 90.00° and γ = 120.00°. Symmetry generates all atoms from K at (0.0000, 0.0000, 0.0000), K at (0.0012, 0.6671, 0.7437), K at (0.3333, 0.6667, 0.9941), Sc at (0.0000, 0.0000, 0.5000), Sc at (0.3333, 0.6667, 0.4672), P at (0.0125, 0.3404, 0.7274), O at (0.0070, 0.8245, 0.3395), O at (0.0684, 0.3675, 0.9192), O at (0.1449, 0.4826, 0.6122) and O at (0.1539, 0.6654, 0.2969).

For the uncorrected energy, the calculation gives -149.67 eV/f.u. The value obtained for the density of states at the Fermi level is 0.00 states/eV/cell. The energy relative to the elements, uncorrected comes out at -2842 meV/atom.


(5)
KSiP2O: PBEsol geometry, SCAN.

It has space group P4/mmm (No. 123), with a = 5.112 Å, b = 5.112 Å, c = 4.244 Å, α = 90.00°, β = 90.00° and γ = 90.00°. Symmetry generates all atoms from K at (0.000, 0.000, 0.000), Si at (0.500, 0.500, 0.500), P at (0.000, 0.500, 0.000) and O at (0.000, 0.000, 0.500).

For the uncorrected energy, the calculation gives -36.00 eV/f.u. The value obtained for the density of states at the Fermi level is 3.30 states/eV/cell. The energy relative to the elements, uncorrected comes out at 1876 meV/atom.


The highest uncorrected energy belongs to which entry? KSiP2O